# 1
TlGe3F: optimized geometry, GGA-PBE.

The structure in POSCAR format:
```
TlGe3F
1.0
4.754 0.000 0.000
0.000 4.754 0.000
0.000 0.000 4.754
Tl Ge F
1 3 1
direct
0.000 0.000 0.000
0.000 0.500 0.500
0.500 0.000 0.500
0.500 0.500 0.000
0.500 0.500 0.500
```

Output
Formation energy without anion corrections ... 5 kJ/mol of formula units
E_tot ... -3.61 eV/atom
M_tot ... 0.0 μB/f.u.
Excess energy over the best structure of this formula in the dataset ... 0 meV per atom
Space group ... Pm-3m

***

# 2
TlGeF2: optimized geometry, GGA-PBE.

The structure in POSCAR format:
```
TlGeF2
1.0
-2.255 2.255 7.635
2.255 -2.255 7.635
2.255 2.255 -7.635
Tl Ge F
2 2 4
direct
0.000 0.000 0.000
0.750 0.250 0.500
0.250 0.750 0.500
0.500 0.500 0.000
0.208 0.625 0.083
0.375 0.458 0.583
0.542 0.125 0.917
0.875 0.792 0.417
```

Output
Formation energy without anion corrections ... -469 kJ/mol of formula units
E_tot ... -3.90 eV/atom
M_tot ... 0.0 μB/f.u.
Excess energy over the best structure of this formula in the dataset ... 189 meV per atom
Space group ... I-42d

***

# 3
Tl2Ge2F7: optimized geometry, GGA-PBE.

The structure in POSCAR format:
```
Tl2Ge2F7
1.0
4.322 -6.005 0.000
4.322 6.005 0.000
-2.364 0.000 4.534
Tl Ge F
2 2 7
direct
0.177 0.823 0.000
0.823 0.177 0.000
0.349 0.349 0.725
0.651 0.651 0.275
0.122 0.375 0.804
0.161 0.161 0.342
0.375 0.122 0.804
0.500 0.500 0.500
0.625 0.878 0.196
0.839 0.839 0.658
0.878 0.625 0.196
```

Output
Formation energy without anion corrections ... -2154 kJ/mol of formula units
E_tot ... -4.49 eV/atom
M_tot ... 0.0 μB/f.u.
Space group ... C2/m

***

# 4
TlGe2F8: optimized geometry, GGA-PBE.

The structure in POSCAR format:
```
TlGe2F8
1.0
7.665 0.000 0.000
-3.832 6.638 0.000
0.000 0.000 3.957
Tl Ge F
1 2 8
direct
0.000 0.000 0.000
0.333 0.667 0.276
0.667 0.333 0.724
0.196 0.800 0.274
0.200 0.396 0.274
0.333 0.667 0.775
0.396 0.196 0.726
0.604 0.804 0.274
0.667 0.333 0.225
0.800 0.604 0.726
0.804 0.200 0.726
```

Output
Formation energy without anion corrections ... -2276 kJ/mol of formula units
E_tot ... -4.56 eV/atom
M_tot ... 0.0 μB/f.u.
Excess energy over the best structure of this formula in the dataset ... 0 meV per atom
Space group ... P-3

***

# 5
TlGeF3: optimized geometry, GGA-PBE.

The structure in POSCAR format:
```
TlGeF3
1.0
4.760 0.000 0.000
0.213 4.770 0.000
1.155 0.577 4.847
Tl Ge F
1 1 3
direct
0.000 0.000 0.000
0.386 0.423 0.420
0.373 0.823 0.357
0.405 0.398 0.044
0.794 0.410 0.349
```

Output
Formation energy without anion corrections ... -981 kJ/mol of formula units
E_tot ... -4.55 eV/atom
M_tot ... 0.0 μB/f.u.
Excess energy over the best structure of this formula in the dataset ... 2 meV per atom
Space group ... P1

***

# 6
TlGeF3: optimized geometry, GGA-PBE.

The structure in POSCAR format:
```
TlGeF3
1.0
3.239 1.870 6.013
-3.239 1.870 6.013
0.000 -3.740 6.013
Tl Ge F
2 2 6
direct
0.168 0.168 0.168
0.832 0.832 0.832
0.365 0.365 0.365
0.635 0.635 0.635
0.187 0.680 0.396
0.320 0.604 0.813
0.396 0.187 0.680
0.604 0.813 0.320
0.680 0.396 0.187
0.813 0.320 0.604
```

Output
Formation energy without anion corrections ... -965 kJ/mol of formula units
E_tot ... -4.52 eV/atom
M_tot ... 0.0 μB/f.u.
Excess energy over the best structure of this formula in the dataset ... 36 meV per atom
Space group ... R-3

***

Question: E_tot of number 3 (Tl2Ge2F7)?
Answer: -4.49 eV/atom